Computed, not measured: a relaxed structure of Cs3MgAu at the PBE level of DFT.

Properties
Polymorph energy (0 for the lowest one), kJ/mol of formula units: 0
Crystal system: cubic
ρ, g/cm3: 3.0
M_tot, μB per formula unit: 0.39
Energy of formation, eV/atom: 0.053

Cell and atoms, written as POSCAR:
```
Cs3MgAu
1.0
7.013 0.000 0.000
0.000 7.013 0.000
0.000 0.000 7.013
Cs Mg Au
3 1 1
direct
0.000 0.500 0.000
0.000 0.000 0.500
0.500 0.000 0.000
0.500 0.500 0.500
0.000 0.000 0.000
```